# SiHg3Te

Crystalline SiHg3Te at its relaxed geometry (GGA-PBE, Alexandria).

Computed properties:
Fermi-level density of states	5.86	states/eV/cell
E_form (uncorrected)	277	meV/atom
symmetry	Pm-3m (221)

Geometry as CIF:
```
data_SiHg3Te
_cell_length_a 5.178
_cell_length_b 5.178
_cell_length_c 5.178
_cell_angle_alpha 90.00
_cell_angle_beta 90.00
_cell_angle_gamma 90.00
_symmetry_space_group_name_H-M 'P 1'
_symmetry_Int_Tables_number 1
loop_
_symmetry_equiv_pos_as_xyz
'x,y,z'
loop_
_atom_site_label
_atom_site_fract_x
_atom_site_fract_y
_atom_site_fract_z
Hg1 0.000 0.500 0.000
Hg2 0.000 0.000 0.500
Si1 0.000 0.000 0.000
Hg3 0.500 0.000 0.000
Te1 0.500 0.500 0.500
```

---

# SiHgTe

Crystalline SiHgTe at its relaxed geometry (GGA-PBE, Alexandria).

Computed properties:
Fermi-level density of states	1.81	states/eV/cell
E_form (uncorrected)	340	meV/atom
symmetry	I4mm (107)

Geometry as CIF:
```
data_SiHgTe
_cell_length_a 6.917
_cell_length_b 6.917
_cell_length_c 6.917
_cell_angle_alpha 150.10
_cell_angle_beta 150.10
_cell_angle_gamma 42.79
_symmetry_space_group_name_H-M 'P 1'
_symmetry_Int_Tables_number 1
loop_
_symmetry_equiv_pos_as_xyz
'x,y,z'
loop_
_atom_site_label
_atom_site_fract_x
_atom_site_fract_y
_atom_site_fract_z
Hg1 0.990 0.990 0.000
Te1 0.707 0.707 0.000
Si1 0.303 0.303 0.000
```

---

# Si2HgTe

Crystalline Si2HgTe at its relaxed geometry (GGA-PBE, Alexandria).

Computed properties:
Fermi-level density of states	1.65	states/eV/cell
E_form (uncorrected)	347	meV/atom
symmetry	Cm (8)

Geometry as CIF:
```
data_Si2HgTe
_cell_length_a 6.699
_cell_length_b 6.699
_cell_length_c 4.547
_cell_angle_alpha 65.83
_cell_angle_beta 65.83
_cell_angle_gamma 32.66
_symmetry_space_group_name_H-M 'P 1'
_symmetry_Int_Tables_number 1
loop_
_symmetry_equiv_pos_as_xyz
'x,y,z'
loop_
_atom_site_label
_atom_site_fract_x
_atom_site_fract_y
_atom_site_fract_z
Hg1 0.278 0.278 0.218
Si1 0.107 0.107 0.048
Si2 0.647 0.647 0.688
Te1 0.468 0.468 0.547
```

---

# Si2HgTe

Crystalline Si2HgTe at its relaxed geometry (GGA-PBE, Alexandria).

Computed properties:
Fermi-level density of states	1.88	states/eV/cell
E_form (uncorrected)	448	meV/atom
symmetry	C2/m (12)

Geometry as CIF:
```
data_Si2HgTe
_cell_length_a 8.539
_cell_length_b 6.368
_cell_length_c 2.936
_cell_angle_alpha 61.50
_cell_angle_beta 111.58
_cell_angle_gamma 139.04
_symmetry_space_group_name_H-M 'P 1'
_symmetry_Int_Tables_number 1
loop_
_symmetry_equiv_pos_as_xyz
'x,y,z'
loop_
_atom_site_label
_atom_site_fract_x
_atom_site_fract_y
_atom_site_fract_z
Te1 0.000 0.500 0.500
Si1 0.000 0.000 0.000
Si2 0.500 0.000 0.500
Hg1 0.500 0.500 0.000
```

---

# Si2HgTe

Crystalline Si2HgTe at its relaxed geometry (GGA-PBE, Alexandria).

Computed properties:
Fermi-level density of states	1.34	states/eV/cell
E_form (uncorrected)	448	meV/atom
symmetry	P2/m (10)

Geometry as CIF:
```
data_Si2HgTe
_cell_length_a 3.869
_cell_length_b 2.957
_cell_length_c 8.373
_cell_angle_alpha 106.94
_cell_angle_beta 90.00
_cell_angle_gamma 90.00
_symmetry_space_group_name_H-M 'P 1'
_symmetry_Int_Tables_number 1
loop_
_symmetry_equiv_pos_as_xyz
'x,y,z'
loop_
_atom_site_label
_atom_site_fract_x
_atom_site_fract_y
_atom_site_fract_z
Hg1 0.500 0.750 0.750
Si1 0.000 0.023 0.991
Te1 0.500 0.250 0.250
Si2 0.000 0.477 0.509
```

---

# Si2HgTe

Crystalline Si2HgTe at its relaxed geometry (GGA-PBE, Alexandria).

Computed properties:
Fermi-level density of states	2.00	states/eV/cell
E_form (uncorrected)	271	meV/atom
symmetry	P4mm (99)

Geometry as CIF:
```
data_Si2HgTe
_cell_length_a 3.605
_cell_length_b 3.604
_cell_length_c 7.395
_cell_angle_alpha 90.00
_cell_angle_beta 90.00
_cell_angle_gamma 90.00
_symmetry_space_group_name_H-M 'P 1'
_symmetry_Int_Tables_number 1
loop_
_symmetry_equiv_pos_as_xyz
'x,y,z'
loop_
_atom_site_label
_atom_site_fract_x
_atom_site_fract_y
_atom_site_fract_z
Te1 0.000 0.000 0.495
Si1 0.500 0.500 0.102
Si2 0.000 0.000 0.146
Hg1 0.500 0.500 0.758
```

---

# Si2HgTe

Crystalline Si2HgTe at its relaxed geometry (GGA-PBE, Alexandria).

Computed properties:
Fermi-level density of states	1.99	states/eV/cell
E_form (uncorrected)	246	meV/atom
symmetry	R3m (160)

Geometry as CIF:
```
data_Si2HgTe
_cell_length_a 7.363
_cell_length_b 7.363
_cell_length_c 7.363
_cell_angle_alpha 30.07
_cell_angle_beta 30.07
_cell_angle_gamma 30.07
_symmetry_space_group_name_H-M 'P 1'
_symmetry_Int_Tables_number 1
loop_
_symmetry_equiv_pos_as_xyz
'x,y,z'
loop_
_atom_site_label
_atom_site_fract_x
_atom_site_fract_y
_atom_site_fract_z
Te1 0.488 0.488 0.488
Si1 0.015 0.015 0.015
Si2 0.735 0.735 0.735
Hg1 0.263 0.263 0.263
```

---

# SiHg4Te

Crystalline SiHg4Te at its relaxed geometry (GGA-PBE, Alexandria).

Computed properties:
Fermi-level density of states	5.31	states/eV/cell
E_form (uncorrected)	534	meV/atom
symmetry	F-43m (216)

Geometry as CIF:
```
data_SiHg4Te
_cell_length_a 6.037
_cell_length_b 6.037
_cell_length_c 6.037
_cell_angle_alpha 60.00
_cell_angle_beta 60.00
_cell_angle_gamma 60.00
_symmetry_space_group_name_H-M 'P 1'
_symmetry_Int_Tables_number 1
loop_
_symmetry_equiv_pos_as_xyz
'x,y,z'
loop_
_atom_site_label
_atom_site_fract_x
_atom_site_fract_y
_atom_site_fract_z
Hg1 0.375 0.375 0.874
Hg2 0.375 0.874 0.375
Te1 0.000 0.000 0.000
Hg3 0.375 0.375 0.375
Si1 0.750 0.750 0.750
Hg4 0.874 0.375 0.375
```

---

# Si2HgTe

Crystalline Si2HgTe at its relaxed geometry (GGA-PBE, Alexandria).

Computed properties:
Fermi-level density of states	3.19	states/eV/cell
E_form (uncorrected)	651	meV/atom
symmetry	Fm-3m (225)

Geometry as CIF:
```
data_Si2HgTe
_cell_length_a 4.987
_cell_length_b 4.987
_cell_length_c 4.987
_cell_angle_alpha 60.00
_cell_angle_beta 60.00
_cell_angle_gamma 60.00
_symmetry_space_group_name_H-M 'P 1'
_symmetry_Int_Tables_number 1
loop_
_symmetry_equiv_pos_as_xyz
'x,y,z'
loop_
_atom_site_label
_atom_site_fract_x
_atom_site_fract_y
_atom_site_fract_z
Si1 0.250 0.250 0.250
Si2 0.750 0.750 0.750
Te1 0.000 0.000 0.000
Hg1 0.500 0.500 0.500
```

---

# SiHgTe3

Crystalline SiHgTe3 at its relaxed geometry (GGA-PBE, Alexandria).

Computed properties:
E_form (uncorrected)	-72	meV/atom
symmetry	P2_1/c (14)

Geometry as CIF:
```
data_SiHgTe3
_cell_length_a 9.054
_cell_length_b 7.904
_cell_length_c 10.204
_cell_angle_alpha 90.00
_cell_angle_beta 99.48
_cell_angle_gamma 90.00
_symmetry_space_group_name_H-M 'P 1'
_symmetry_Int_Tables_number 1
loop_
_symmetry_equiv_pos_as_xyz
'x,y,z'
loop_
_atom_site_label
_atom_site_fract_x
_atom_site_fract_y
_atom_site_fract_z
Te1 0.135 0.001 0.846
Te2 0.000 0.247 0.500
Hg1 0.501 0.749 0.500
Si1 0.435 0.500 0.140
Te3 0.164 0.500 0.182
Te4 0.000 0.753 0.500
Te5 0.500 0.253 0.000
Hg2 0.499 0.251 0.500
Te6 0.635 0.499 0.346
Si2 0.065 0.000 0.360
Si3 0.935 0.000 0.640
Si4 0.565 0.500 0.860
Te7 0.365 0.501 0.654
Te8 0.836 0.500 0.818
Te9 0.500 0.747 0.000
Hg3 0.001 0.751 0.000
Te10 0.336 0.000 0.318
Te11 0.865 0.999 0.154
Te12 0.664 0.000 0.682
Hg4 0.999 0.249 0.000
```

---

# TlSi2HgTe6

Crystalline TlSi2HgTe6 at its relaxed geometry (GGA-PBE, Alexandria).

Computed properties:
Fermi-level density of states	11.22	states/eV/cell
E_form (uncorrected)	-22	meV/atom
symmetry	C2/c (15)

Geometry as CIF:
```
data_TlSi2HgTe6
_cell_length_a 7.161
_cell_length_b 10.368
_cell_length_c 10.368
_cell_angle_alpha 86.47
_cell_angle_beta 77.39
_cell_angle_gamma 77.39
_symmetry_space_group_name_H-M 'P 1'
_symmetry_Int_Tables_number 1
loop_
_symmetry_equiv_pos_as_xyz
'x,y,z'
loop_
_atom_site_label
_atom_site_fract_x
_atom_site_fract_y
_atom_site_fract_z
Hg1 0.250 0.298 0.702
Si1 0.293 0.779 0.640
Te1 0.071 0.587 0.121
Te2 0.429 0.879 0.413
Te3 0.514 0.568 0.704
Tl1 0.250 0.873 0.127
Te4 0.986 0.296 0.432
Te5 0.571 0.121 0.587
Te6 0.710 0.809 0.956
Si2 0.707 0.221 0.360
Te7 0.486 0.432 0.296
Te8 0.790 0.044 0.191
Te9 0.290 0.191 0.044
Tl2 0.750 0.127 0.873
Te10 0.929 0.413 0.879
Hg2 0.750 0.702 0.298
Te11 0.014 0.704 0.568
Si3 0.793 0.640 0.779
Si4 0.207 0.360 0.221
Te12 0.210 0.956 0.809
```

---

# Tl2SiHgTe4

Crystalline Tl2SiHgTe4 at its relaxed geometry (GGA-PBE, Alexandria).

Computed properties:
Fermi-level density of states	9.70	states/eV/cell
E_form (uncorrected)	-43	meV/atom
symmetry	Imma (74)

Geometry as CIF:
```
data_Tl2SiHgTe4
_cell_length_a 8.782
_cell_length_b 8.782
_cell_length_c 8.985
_cell_angle_alpha 120.75
_cell_angle_beta 120.75
_cell_angle_gamma 89.46
_symmetry_space_group_name_H-M 'P 1'
_symmetry_Int_Tables_number 1
loop_
_symmetry_equiv_pos_as_xyz
'x,y,z'
loop_
_atom_site_label
_atom_site_fract_x
_atom_site_fract_y
_atom_site_fract_z
Tl1 0.500 0.500 0.000
Te1 0.754 0.746 0.965
Hg1 0.000 0.500 0.000
Te2 0.223 0.758 0.991
Te3 0.246 0.254 0.035
Te4 0.754 0.746 0.535
Te5 0.742 0.277 0.509
Tl2 0.500 0.000 0.000
Hg2 0.000 0.500 0.500
Si1 0.000 0.000 0.000
Tl3 0.500 0.000 0.500
Te6 0.258 0.723 0.491
Te7 0.246 0.254 0.465
Si2 0.500 0.500 0.500
Tl4 0.000 0.000 0.500
Te8 0.777 0.242 0.009
```